This record from Alexandria via LeMat-Bulk describes a relaxed structure of Hf3P. The functional is GGA-PBE.

Unit cell a=3.3499 b=5.6605 c=5.3611 alpha=121.87 beta=108.21 gamma=90.00
With the nearest neighbours (Å) after each atom.
Sites, in units of the cell vectors:
Hf: 0.3043 0.6480 0.6086  2 P 2.68, 1 Hf 2.96
Hf: 0.5000 0.4113 0.0000  2 P 2.57
Hf: 0.6957 0.0394 0.3914  2 P 2.68, 1 Hf 2.96
P: 0.0000 0.0680 0.0000  6 Hf 2.57-2.68

For the formation energy, the calculation gives -0.544 eV per atom. The symmetry is Imm2, No. 44. The raw total energy comes out at -37.4 eV per cell.

This record from Alexandria via LeMat-Bulk describes a relaxed structure of Ca2AcPr3. The functional is GGA-PBE.

Unit cell a=7.5949 b=7.5949 c=9.4430 alpha=90.00 beta=90.00 gamma=120.00
With the nearest neighbours (Å) after each atom.
Sites, in units of the cell vectors:
Ca: 0.5000 0.5000 0.0000  6 Ca 3.80, 4 Pr 3.91, 2 Ac 3.91
Ca: 0.0000 0.5000 0.0000  6 Ca 3.80, 4 Pr 3.91, 2 Ac 3.91
Ac: 0.3333 0.6667 0.3428  9 Pr 3.71-3.80, 3 Ca 3.91
Ac: 0.6667 0.3333 0.6572  9 Pr 3.71-3.80, 3 Ca 3.91
Pr: 0.1654 0.3309 0.6579  6 Pr 3.69-3.83, 3 Ac 3.71-3.80, 3 Ca 3.89-3.91
Pr: 0.8346 0.1654 0.3421  6 Pr 3.69-3.83, 3 Ac 3.71-3.80, 3 Ca 3.89-3.91
Pr: 0.1654 0.8346 0.6579  6 Pr 3.69-3.83, 3 Ac 3.71-3.80, 3 Ca 3.89-3.91
Ca: 0.0000 0.0000 0.0000  6 Ca 3.80, 6 Pr 3.89
Pr: 0.8346 0.6691 0.3421  6 Pr 3.69-3.83, 3 Ac 3.71-3.80, 3 Ca 3.89-3.91
Pr: 0.6691 0.8346 0.6579  6 Pr 3.69-3.83, 3 Ac 3.71-3.80, 3 Ca 3.89-3.91
Ca: 0.5000 0.0000 0.0000  6 Ca 3.80, 4 Pr 3.91, 2 Ac 3.91
Pr: 0.3309 0.1654 0.3421  6 Pr 3.69-3.83, 3 Ac 3.71-3.80, 3 Ca 3.89-3.91

For the formation energy, the calculation gives 0.029 eV per atom. The symmetry is P-3m1, No. 164. The raw total energy comes out at -44.6 eV per cell.

Number 1: M_tot 0.000 μB/atom, Fermi-level density of states 2.7 states/eV/f.u.. Number 2: M_tot 0.000 μB/atom, Fermi-level density of states 8.0 states/eV/f.u..